CaTbPr2Se5 | PBE | relaxed

```
9
Lattice="5.168 0.000 0.000 0.000 5.168 0.000 0.000 0.000 10.784" Properties=species:S:1:pos:R:3 pbc="T T T"
Ca 0.000 0.000 0.000
Tb 0.000 0.000 5.392
Pr 2.584 2.584 3.188
Pr 2.584 2.584 7.595
Se 0.000 2.584 5.392
Se 2.584 0.000 5.392
Se 0.000 0.000 8.137
Se 0.000 0.000 2.646
Se 2.584 2.584 0.000
```

Values from the calculation:
V, Å³ per cell: 288.0
ΔE_f (raw), eV/f.u.: -12.54
SG: P4/mmm
Magnetization, μB per atom: 0.000
Density, Mg/m³: 5.05

***

CaTb4Pr3Se8 | PBE | relaxed

```
16
Lattice="8.339 0.000 0.000 0.000 8.358 0.009 -4.169 -4.165 5.899" Properties=species:S:1:pos:R:3 pbc="T T T"
Ca 0.000 4.179 0.004
Tb 4.169 0.000 0.000
Tb 2.085 -2.082 2.949
Tb 0.000 0.000 0.000
Tb -2.085 -2.082 2.949
Pr 4.169 4.179 0.004
Pr 2.085 2.097 2.954
Pr -2.085 2.097 2.954
Se 2.048 6.315 0.066
Se 0.000 4.270 2.964
Se 0.000 -0.079 2.891
Se 6.291 6.315 0.066
Se -2.121 -2.122 5.842
Se 4.169 4.272 3.017
Se 4.169 -0.077 2.943
Se 2.121 -2.122 5.842
```

Values from the calculation:
V, Å³ per cell: 411.4
ΔE_f (raw), eV/f.u.: -29.14
SG: R-3m
Magnetization, μB per atom: 0.000
Density, Mg/m³: 6.98

***

Ca3TbPr2Se6 | PBE | relaxed

```
12
Lattice="7.236 0.003 -0.001 -3.614 6.269 -0.001 -1.209 -2.094 6.957" Properties=species:S:1:pos:R:3 pbc="T T T"
Ca -2.386 4.164 3.478
Ca 4.799 0.015 3.478
Ca 1.207 2.089 3.478
Tb 0.000 0.000 0.000
Pr 0.011 4.175 -0.001
Pr 3.611 2.096 -0.001
Se 3.588 2.144 5.185
Se 2.448 4.238 1.776
Se -1.175 2.034 1.770
Se 0.064 4.180 5.185
Se -0.035 -0.060 5.180
Se 2.349 -0.001 1.770
```

Values from the calculation:
V, Å³ per cell: 315.6
ΔE_f (raw), eV/f.u.: -22.76
SG: C2/m
Magnetization, μB per atom: 0.000
Density, Mg/m³: 5.44

***

Ca4Tb3PrSe8 | PBE | relaxed

```
16
Lattice="8.275 0.000 0.000 0.000 8.390 0.075 -4.138 -4.134 5.855" Properties=species:S:1:pos:R:3 pbc="T T T"
Ca 4.138 0.000 0.000
Ca 2.069 -2.067 2.928
Ca 0.000 0.000 0.000
Ca -2.069 -2.067 2.928
Tb 4.138 4.195 0.038
Tb 2.069 2.128 2.965
Tb -2.069 2.128 2.965
Pr 0.000 4.195 0.038
Se -2.026 2.179 5.896
Se 0.000 4.202 3.029
Se 0.000 0.052 2.963
Se 2.026 2.179 5.896
Se 2.112 2.076 0.035
Se 4.138 4.204 2.968
Se 4.138 0.054 2.901
Se 6.163 2.076 0.035
```

Values from the calculation:
V, Å³ per cell: 409.1
ΔE_f (raw), eV/f.u.: -30.18
SG: R-3m
Magnetization, μB per atom: 0.000
Density, Mg/m³: 5.72